Entry 1:
The following is a PBE-GGA calculation of a relaxed CuRu2W crystal, from Alexandria. Values from VASP.

Calculated values
SG ... P4/mmm (123)
Spin magnetization ... 0.00 μB/f.u.
E_tot ... -8.693 eV per atom
Energy above the most stable polymorph in this dataset ... 51 kJ/mol of formula units

Geometry as Quantum ESPRESSO input:
```
&SYSTEM
  ibrav = 0, nat = 4, ntyp = 3
/
ATOMIC_SPECIES
Cu 63.55 Cu.upf
Ru 101.07 Ru.upf
W 183.84 W.upf
CELL_PARAMETERS angstrom
2.7984 0.0000 0.0000
0.0000 2.7984 0.0000
0.0000 0.0000 7.2536
ATOMIC_POSITIONS crystal
Cu 0.5000 0.5000 0.7500
Ru 0.0000 0.0000 0.9920
Ru 0.0000 0.0000 0.5080
W 0.5000 0.5000 0.2500
```

=====

Entry 2:
The following is a PBE-GGA calculation of a relaxed CaYO2 crystal, from Alexandria. Values from VASP.

Calculated values
SG ... R-3m (166)
Uncorrected formation energy ... -2.7766 eV/atom
Spin magnetization ... 0.00 μB/f.u.
E_tot ... -7.372 eV per atom
Energy above the most stable polymorph in this dataset ... 28 kJ/mol of formula units

Geometry as Quantum ESPRESSO input:
```
&SYSTEM
  ibrav = 0, nat = 4, ntyp = 3
/
ATOMIC_SPECIES
Y 88.91 Y.upf
Ca 40.08 Ca.upf
O 16.00 O.upf
CELL_PARAMETERS angstrom
-2.5431 3.8766 5.0589
0.6889 5.2216 4.3987
-2.0690 6.1146 2.3280
ATOMIC_POSITIONS crystal
Y 0.5000 0.5000 0.5000
Ca 0.0000 0.0000 0.0000
O 0.8882 0.8882 0.8882
O 0.1118 0.1118 0.1118
```

=====

Entry 3:
The following is a PBE-GGA calculation of a relaxed Nd3YPb2C crystal, from Alexandria. Values from VASP.

Calculated values
SG ... Immm (71)
Spin magnetization ... 0.00 μB/f.u.
E_tot ... -5.852 eV per atom

Geometry as Quantum ESPRESSO input:
```
&SYSTEM
  ibrav = 0, nat = 7, ntyp = 4
/
ATOMIC_SPECIES
Nd 144.24 Nd.upf
Y 88.91 Y.upf
Pb 207.20 Pb.upf
C 12.01 C.upf
CELL_PARAMETERS angstrom
-0.3106 -4.5700 -1.6954
4.1320 -1.2350 2.5718
-6.6253 0.7893 6.1218
ATOMIC_POSITIONS crystal
Nd 0.0000 0.5000 0.0000
Nd 0.1597 0.1597 0.3194
Nd 0.8403 0.8403 0.6806
Y 0.5000 0.0000 0.0000
Pb 0.6399 0.6399 0.2797
Pb 0.3601 0.3601 0.7203
C 0.0000 0.0000 0.0000
```

=====

Entry 4:
The following is a PBE-GGA calculation of a relaxed Ba2VSeS3 crystal, from Alexandria. Values from VASP.

Calculated values
SG ... Immm (71)
Uncorrected formation energy ... -1.4532 eV/atom
Spin magnetization ... 0.98 μB/f.u.
E_tot ... -5.572 eV per atom

Geometry as Quantum ESPRESSO input:
```
&SYSTEM
  ibrav = 0, nat = 7, ntyp = 4
/
ATOMIC_SPECIES
Ba 137.33 Ba.upf
V 50.94 V.upf
Se 78.96 Se.upf
S 32.06 S.upf
CELL_PARAMETERS angstrom
4.8745 0.0000 0.0000
0.0000 4.6325 0.0000
-2.4372 -2.3162 8.0560
ATOMIC_POSITIONS crystal
Ba 0.6479 0.6479 0.2959
Ba 0.3521 0.3521 0.7041
V 0.0000 0.0000 0.0000
Se 0.5000 0.0000 0.0000
S 0.0000 0.5000 0.0000
S 0.1581 0.1581 0.3161
S 0.8419 0.8419 0.6839
```

=====

Entry 5:
The following is a PBE-GGA calculation of a relaxed MgIn2Ag crystal, from Alexandria. Values from VASP.

Calculated values
SG ... F-43m (216)
Spin magnetization ... 0.00 μB/f.u.
E_tot ... -2.471 eV per atom

Geometry as Quantum ESPRESSO input:
```
&SYSTEM
  ibrav = 0, nat = 4, ntyp = 3
/
ATOMIC_SPECIES
Ag 107.87 Ag.upf
In 114.82 In.upf
Mg 24.30 Mg.upf
CELL_PARAMETERS angstrom
-2.3709 -2.4636 3.7356
-1.1585 -4.9008 -0.5347
2.4772 -3.4965 2.6988
ATOMIC_POSITIONS crystal
Ag 0.5000 0.5000 0.5000
In 0.0000 0.0000 0.0000
In 0.2500 0.2500 0.2500
Mg 0.7500 0.7500 0.7500
```

=====

Entry 6:
The following is a PBE-GGA calculation of a relaxed SrAlTc2 crystal, from Alexandria. Values from VASP.

Calculated values
SG ... Cmmm (65)
Spin magnetization ... 0.00 μB/f.u.
E_tot ... -6.004 eV per atom

Geometry as Quantum ESPRESSO input:
```
&SYSTEM
  ibrav = 0, nat = 4, ntyp = 3
/
ATOMIC_SPECIES
Sr 87.62 Sr.upf
Tc 98.00 Tc.upf
Al 26.98 Al.upf
CELL_PARAMETERS angstrom
-1.0907 1.3240 -2.2600
-0.0248 -2.7312 -0.7683
-8.4018 -0.9138 3.5196
ATOMIC_POSITIONS crystal
Sr 0.5000 0.5000 0.7500
Tc 0.0000 0.0000 0.0421
Tc 0.0000 0.0000 0.4579
Al 0.5000 0.5000 0.2500
```

=====

Entry 7:
The following is a PBE-GGA calculation of a relaxed VOsW2 crystal, from Alexandria. Values from VASP.

Calculated values
SG ... I-42d (122)
Spin magnetization ... 0.00 μB/f.u.
E_tot ... -10.744 eV per atom
Energy above the most stable polymorph in this dataset ... 315 kJ/mol of formula units

Geometry as Quantum ESPRESSO input:
```
&SYSTEM
  ibrav = 0, nat = 8, ntyp = 3
/
ATOMIC_SPECIES
Os 190.23 Os.upf
W 183.84 W.upf
V 50.94 V.upf
CELL_PARAMETERS angstrom
3.6411 0.0000 0.0000
0.0000 3.6411 0.0000
1.8205 1.8205 9.9075
ATOMIC_POSITIONS crystal
Os 0.0000 0.0000 0.0000
Os 0.7500 0.2500 0.5000
W 0.6191 0.1250 0.2500
W 0.1309 0.6250 0.2500
W 0.3750 0.3809 0.7500
W 0.8750 0.8691 0.7500
V 0.5000 0.5000 0.0000
V 0.2500 0.7500 0.5000
```

=====

Entry 8:
The following is a PBE-GGA calculation of a relaxed CuB2S4 crystal, from Alexandria. Values from VASP.

Calculated values
SG ... Cc (9)
Uncorrected formation energy ... -0.2456 eV/atom
Spin magnetization ... 0.00 μB/f.u.
E_tot ... -5.097 eV per atom

Geometry as Quantum ESPRESSO input:
```
&SYSTEM
  ibrav = 0, nat = 14, ntyp = 3
/
ATOMIC_SPECIES
Cu 63.55 Cu.upf
B 10.81 B.upf
S 32.06 S.upf
CELL_PARAMETERS angstrom
6.0247 0.3244 -0.0853
-0.1090 6.0326 0.0870
-2.8540 -3.2792 7.0117
ATOMIC_POSITIONS crystal
Cu 0.2834 0.7821 0.5018
Cu 0.0320 0.0333 0.0019
B 0.6576 0.2874 0.7499
B 0.5371 0.9070 0.2493
B 0.5374 0.4076 0.2498
B 0.1570 0.2871 0.7494
S 0.7011 0.1427 0.2333
S 0.2426 0.9222 0.2530
S 0.9087 0.4675 0.7653
S 0.1722 0.9926 0.7530
S 0.2398 0.4207 0.2473
S 0.6707 0.9898 0.7473
S 0.3928 0.4512 0.7334
S 0.7175 0.6587 0.2652
```

=====

Entry 9:
The following is a PBE-GGA calculation of a relaxed CsLiBi2 crystal, from Alexandria. Values from VASP.

Calculated values
SG ... I-42d (122)
Spin magnetization ... 0.00 μB/f.u.
E_tot ... -2.818 eV per atom
Energy above the most stable polymorph in this dataset ... 31 kJ/mol of formula units

Geometry as Quantum ESPRESSO input:
```
&SYSTEM
  ibrav = 0, nat = 8, ntyp = 3
/
ATOMIC_SPECIES
Cs 132.91 Cs.upf
Bi 208.98 Bi.upf
Li 6.94 Li.upf
CELL_PARAMETERS angstrom
-5.8121 1.2263 0.9602
-0.8863 -5.6546 1.8567
-1.2241 0.5269 10.7710
ATOMIC_POSITIONS crystal
Cs 0.0000 0.0000 0.0000
Cs 0.7500 0.2500 0.5000
Bi 0.4317 0.1250 0.2500
Bi 0.3183 0.6250 0.2500
Bi 0.3750 0.5683 0.7500
Bi 0.8750 0.6817 0.7500
Li 0.5000 0.5000 0.0000
Li 0.2500 0.7500 0.5000
```

=====

Entry 10:
The following is a PBE-GGA calculation of a relaxed Zr2AlBIr6 crystal, from Alexandria. Values from VASP.

Calculated values
SG ... C2/m (12)
Spin magnetization ... 0.00 μB/f.u.
E_tot ... -8.559 eV per atom

Geometry as Quantum ESPRESSO input:
```
&SYSTEM
  ibrav = 0, nat = 10, ntyp = 4
/
ATOMIC_SPECIES
Zr 91.22 Zr.upf
Al 26.98 Al.upf
B 10.81 B.upf
Ir 192.22 Ir.upf
CELL_PARAMETERS angstrom
5.4246 0.0324 -0.2103
0.0389 7.0310 -0.9436
2.5816 2.8878 3.8050
ATOMIC_POSITIONS crystal
Zr 0.7631 0.1867 0.5759
Zr 0.2369 0.8133 0.4241
Al 0.0000 0.0000 0.0000
B 0.5000 0.5000 0.0000
Ir 0.3098 0.3537 0.4899
Ir 0.7145 0.7614 0.9532
Ir 0.1566 0.6466 0.0439
Ir 0.8434 0.3534 0.9561
Ir 0.2855 0.2386 0.0468
Ir 0.6902 0.6463 0.5101
```

=====

Entry 11:
The following is a PBE-GGA calculation of a relaxed CsO2 crystal, from Alexandria. Values from VASP.

Calculated values
SG ... Cmmm (65)
Uncorrected formation energy ... -0.8335 eV/atom
Spin magnetization ... 1.00 μB/f.u.
E_tot ... -4.424 eV per atom
Energy above the most stable polymorph in this dataset ... 11 kJ/mol of formula units

Geometry as Quantum ESPRESSO input:
```
&SYSTEM
  ibrav = 0, nat = 3, ntyp = 2
/
ATOMIC_SPECIES
Cs 132.91 Cs.upf
O 16.00 O.upf
CELL_PARAMETERS angstrom
-1.7652 3.2039 2.0161
-3.0246 -2.7549 -0.8413
0.6755 -1.7918 3.4388
ATOMIC_POSITIONS crystal
Cs 0.5000 0.5000 0.0000
O 0.1008 0.8992 0.5000
O 0.8992 0.1008 0.5000
```

=====

Entry 12:
The following is a PBE-GGA calculation of a relaxed Ca3Ga2Br8 crystal, from Alexandria. Values from VASP.

Calculated values
SG ... C2/m (12)
Uncorrected formation energy ... -1.5652 eV/atom
Spin magnetization ... 0.00 μB/f.u.
E_tot ... -3.522 eV per atom

Geometry as Quantum ESPRESSO input:
```
&SYSTEM
  ibrav = 0, nat = 13, ntyp = 3
/
ATOMIC_SPECIES
Ca 40.08 Ca.upf
Ga 69.72 Ga.upf
Br 79.90 Br.upf
CELL_PARAMETERS angstrom
-1.4498 -3.1145 6.5374
7.6192 2.0082 3.1139
0.8025 7.3455 4.1449
ATOMIC_POSITIONS crystal
Ca 0.5000 0.0000 0.0000
Ca 0.0000 0.7480 0.2520
Ca 0.0000 0.2520 0.7480
Ga 0.4597 0.7139 0.7139
Ga 0.5403 0.2861 0.2861
Br 0.8714 0.3870 0.3870
Br 0.1286 0.6130 0.6130
Br 0.8438 0.8922 0.8922
Br 0.1562 0.1078 0.1078
Br 0.6610 0.3459 0.8835
Br 0.6610 0.8835 0.3459
Br 0.3390 0.1165 0.6541
Br 0.3390 0.6541 0.1165
```

=====

Entry 13:
The following is a PBE-GGA calculation of a relaxed Ac3Hg2N crystal, from Alexandria. Values from VASP.

Calculated values
SG ... P2/m (10)
Uncorrected formation energy ... -0.6258 eV/atom
Spin magnetization ... 0.00 μB/f.u.
E_tot ... -4.168 eV per atom
Energy above the most stable polymorph in this dataset ... 6 kJ/mol of formula units

Geometry as Quantum ESPRESSO input:
```
&SYSTEM
  ibrav = 0, nat = 12, ntyp = 3
/
ATOMIC_SPECIES
Ac 227.00 Ac.upf
Hg 200.59 Hg.upf
N 14.01 N.upf
CELL_PARAMETERS angstrom
-0.5580 3.9936 -3.5008
-6.7927 2.0262 3.3941
3.7896 7.0451 3.3790
ATOMIC_POSITIONS crystal
Ac 0.5000 0.2500 0.0000
Ac 0.5000 0.7500 0.0000
Ac 0.1162 0.0000 0.7668
Ac 0.8838 0.5000 0.2332
Ac 0.1162 0.5000 0.7668
Ac 0.8838 0.0000 0.2332
Hg 0.6977 0.7500 0.6027
Hg 0.6985 0.2500 0.6027
Hg 0.3015 0.7500 0.3973
Hg 0.3023 0.2500 0.3973
N 0.9999 0.7500 0.0000
N 0.0001 0.2500 0.0000
```

=====

Entry 14:
The following is a PBE-GGA calculation of a relaxed Sm2BeZnIr2 crystal, from Alexandria. Values from VASP.

Calculated values
SG ... Ibam (72)
Spin magnetization ... 0.00 μB/f.u.
E_tot ... -5.934 eV per atom

Geometry as Quantum ESPRESSO input:
```
&SYSTEM
  ibrav = 0, nat = 12, ntyp = 4
/
ATOMIC_SPECIES
Sm 150.36 Sm.upf
Be 9.01 Be.upf
Zn 65.41 Zn.upf
Ir 192.22 Ir.upf
CELL_PARAMETERS angstrom
5.8598 0.0000 0.0000
0.0000 5.7940 0.0000
-2.9299 -2.8970 6.7759
ATOMIC_POSITIONS crystal
Sm 0.4038 0.1683 0.3365
Sm 0.5962 0.8317 0.6635
Sm 0.0672 0.3317 0.6635
Sm 0.9328 0.6683 0.3365
Be 0.5000 0.7500 0.0000
Be 0.5000 0.2500 0.0000
Zn 0.0000 0.7500 0.0000
Zn 0.0000 0.2500 0.0000
Ir 0.8185 0.1058 0.2115
Ir 0.3930 0.6058 0.2115
Ir 0.6070 0.3942 0.7885
Ir 0.1815 0.8942 0.7885
```

=====

Entry 15:
The following is a PBE-GGA calculation of a relaxed Nd2Sm5Ho12 crystal, from Alexandria. Values from VASP.

Calculated values
SG ... C2/m (12)
Spin magnetization ... 0.00 μB/f.u.
E_tot ... -4.506 eV per atom
Energy above the most stable polymorph in this dataset ... 203 kJ/mol of formula units

Geometry as Quantum ESPRESSO input:
```
&SYSTEM
  ibrav = 0, nat = 19, ntyp = 3
/
ATOMIC_SPECIES
Nd 144.24 Nd.upf
Sm 150.36 Sm.upf
Ho 164.93 Ho.upf
CELL_PARAMETERS angstrom
9.2958 0.0000 0.0000
-4.6479 11.3049 -1.6667
0.0000 -5.3763 6.7469
ATOMIC_POSITIONS crystal
Nd 0.6767 0.0000 0.0000
Nd 0.3233 0.0000 0.0000
Sm 0.2949 0.5897 0.6078
Sm 0.2303 0.4607 0.8880
Sm 0.0000 0.0000 0.5000
Sm 0.7697 0.5393 0.1120
Sm 0.7051 0.4103 0.3922
Ho 0.0788 0.1575 0.2813
Ho 0.0286 0.7000 0.9419
Ho 0.6714 0.7000 0.9419
Ho 0.1810 0.7417 0.4040
Ho 0.5606 0.7417 0.4040
Ho 0.5572 0.1144 0.7795
Ho 0.4428 0.8856 0.2205
Ho 0.8190 0.2583 0.5960
Ho 0.4394 0.2583 0.5960
Ho 0.9714 0.3000 0.0581
Ho 0.3286 0.3000 0.0581
Ho 0.9212 0.8425 0.7187
```

=====

Entry 16:
The following is a PBE-GGA calculation of a relaxed Tc2IrS crystal, from Alexandria. Values from VASP.

Calculated values
SG ... I-42d (122)
Uncorrected formation energy ... 0.4282 eV/atom
Spin magnetization ... 0.00 μB/f.u.
E_tot ... -8.002 eV per atom
Energy above the most stable polymorph in this dataset ... 49 kJ/mol of formula units

Geometry as Quantum ESPRESSO input:
```
&SYSTEM
  ibrav = 0, nat = 8, ntyp = 3
/
ATOMIC_SPECIES
S 32.06 S.upf
Ir 192.22 Ir.upf
Tc 98.00 Tc.upf
CELL_PARAMETERS angstrom
5.4534 0.0000 0.0000
0.0000 5.4534 0.0000
2.7267 2.7267 5.2872
ATOMIC_POSITIONS crystal
S 0.5000 0.5000 0.0000
S 0.2500 0.7500 0.5000
Ir 0.0000 0.0000 0.0000
Ir 0.7500 0.2500 0.5000
Tc 0.6039 0.1250 0.2500
Tc 0.1461 0.6250 0.2500
Tc 0.3750 0.3961 0.7500
Tc 0.8750 0.8539 0.7500
```

=====

Entry 17:
The following is a PBE-GGA calculation of a relaxed Cs2TlRuO6 crystal, from Alexandria. Values from VASP.

Calculated values
SG ... P-3m1 (164)
Uncorrected formation energy ... -0.9054 eV/atom
Spin magnetization ... 0.00 μB/f.u.
E_tot ... -5.215 eV per atom

Geometry as Quantum ESPRESSO input:
```
&SYSTEM
  ibrav = 0, nat = 10, ntyp = 4
/
ATOMIC_SPECIES
Cs 132.91 Cs.upf
Tl 204.38 Tl.upf
Ru 101.07 Ru.upf
O 16.00 O.upf
CELL_PARAMETERS angstrom
-3.2868 4.3468 -2.2057
-1.5036 -3.7512 -5.1519
-3.7659 -0.1303 5.3550
ATOMIC_POSITIONS crystal
Cs 0.1712 0.3333 0.6667
Cs 0.8288 0.6667 0.3333
Tl 0.5000 0.0000 0.0000
Ru 0.0000 0.0000 0.0000
O 0.8051 0.1350 0.2700
O 0.8051 0.1350 0.8650
O 0.8051 0.7300 0.8650
O 0.1949 0.8650 0.1350
O 0.1949 0.2700 0.1350
O 0.1949 0.8650 0.7300
```

=====

Entry 18:
The following is a PBE-GGA calculation of a relaxed RbTl10Au2 crystal, from Alexandria. Values from VASP.

Calculated values
SG ... Fmmm (69)
Spin magnetization ... 0.00 μB/f.u.
E_tot ... -2.421 eV per atom

Geometry as Quantum ESPRESSO input:
```
&SYSTEM
  ibrav = 0, nat = 13, ntyp = 3
/
ATOMIC_SPECIES
Rb 85.47 Rb.upf
Tl 204.38 Tl.upf
Au 196.97 Au.upf
CELL_PARAMETERS angstrom
5.9051 0.0000 2.4075
2.9526 8.4338 1.2038
0.1360 0.0000 8.1121
ATOMIC_POSITIONS crystal
Rb 0.0000 0.0000 0.0000
Tl 0.3505 0.6329 0.6660
Tl 0.6495 0.3671 0.3340
Tl 0.9834 0.3671 0.6660
Tl 0.0166 0.6329 0.3340
Tl 0.0000 0.0000 0.5000
Tl 0.5000 0.0000 0.5000
Tl 0.2749 0.2394 0.2108
Tl 0.7251 0.7606 0.7892
Tl 0.5143 0.7606 0.2108
Tl 0.4857 0.2394 0.7892
Au 0.0000 0.5000 0.0000
Au 0.5000 0.5000 0.0000
```

=====

Entry 19:
The following is a PBE-GGA calculation of a relaxed AgH5Pd4 crystal, from Alexandria. Values from VASP.

Calculated values
SG ... Pmmn (59)
Spin magnetization ... 0.00 μB/f.u.
E_tot ... -3.983 eV per atom
Energy above the most stable polymorph in this dataset ... 104 kJ/mol of formula units

Geometry as Quantum ESPRESSO input:
```
&SYSTEM
  ibrav = 0, nat = 20, ntyp = 3
/
ATOMIC_SPECIES
Ag 107.87 Ag.upf
H 1.01 H.upf
Pd 106.42 Pd.upf
CELL_PARAMETERS angstrom
4.8142 0.0000 0.0000
0.0000 5.3902 0.0000
0.0000 0.0000 8.0407
ATOMIC_POSITIONS crystal
Ag 0.8756 0.0000 0.0000
Ag 0.1244 0.5000 0.5000
H 0.1989 0.7353 0.8117
H 0.1989 0.2647 0.8117
H 0.6432 0.5000 0.0000
H 0.1989 0.7353 0.1883
H 0.1989 0.2647 0.1883
H 0.8011 0.7647 0.3117
H 0.8011 0.2353 0.3117
H 0.3568 0.0000 0.5000
H 0.8011 0.2353 0.6883
H 0.8011 0.7647 0.6883
Pd 0.1080 0.0000 0.6824
Pd 0.3825 0.7488 0.0000
Pd 0.3825 0.2512 0.0000
Pd 0.1080 0.0000 0.3176
Pd 0.8920 0.5000 0.1824
Pd 0.6175 0.7512 0.5000
Pd 0.6175 0.2488 0.5000
Pd 0.8920 0.5000 0.8176
```

=====

Entry 20:
The following is a PBE-GGA calculation of a relaxed NaHfH2I crystal, from Alexandria. Values from VASP.

Calculated values
SG ... P4/mmm (123)
Spin magnetization ... 0.00 μB/f.u.
E_tot ... -2.745 eV per atom

Geometry as Quantum ESPRESSO input:
```
&SYSTEM
  ibrav = 0, nat = 5, ntyp = 4
/
ATOMIC_SPECIES
I 126.90 I.upf
Na 22.99 Na.upf
Hf 178.49 Hf.upf
H 1.01 H.upf
CELL_PARAMETERS angstrom
4.2786 0.0000 0.0000
0.0000 5.7348 0.0000
0.0000 0.0000 4.2786
ATOMIC_POSITIONS crystal
I 0.0000 0.0000 0.0000
Na 0.5000 0.5000 0.5000
Hf 0.0000 0.5000 0.0000
H 0.0000 0.0000 0.5000
H 0.5000 0.0000 0.0000
```